16
Lattice="10.1786 0.0000 0.0000 0.0000 10.1786 0.0000 0.0000 0.0000 3.0863" Properties=species:S:1:pos:R:3 comment="CrIn | Alexandria via LeMat-Bulk | PBE | relaxed" energy_ev_per_atom=-5.74 mass_density_g_cm3=6.93 vol_a3_per_cell=319.7 delta_e_f_ev_per_atom=0.441 pbc="T T T"
Cr 0.8156 1.8775 0.0000
Cr 1.0980 7.5576 1.5431
Cr 1.8775 9.3630 0.0000
Cr 2.6210 1.0980 1.5431
Cr 7.5576 9.0806 1.5431
Cr 8.3011 0.8156 0.0000
Cr 9.0806 2.6210 1.5431
Cr 9.3630 8.3011 0.0000
In 1.2350 4.2617 1.5431
In 3.2068 6.2664 0.0000
In 3.9122 3.2068 0.0000
In 4.2617 8.9435 1.5431
In 5.9169 1.2350 1.5431
In 6.2664 6.9718 0.0000
In 6.9718 3.9122 0.0000
In 8.9435 5.9169 1.5431

=====

4
Lattice="-2.0175 2.0175 3.8863 2.0175 -2.0175 3.8863 2.0175 2.0175 -3.8863" Properties=species:S:1:pos:R:3 comment="ScZn2Ir | Alexandria via LeMat-Bulk | PBE | relaxed" energy_ev_per_atom=-4.87 mass_density_g_cm3=9.66 vol_a3_per_cell=63.3 delta_e_f_ev_per_atom=-0.438 pbc="T T T"
Sc 0.0000 0.0000 0.0000
Zn 0.0000 0.0000 3.8863
Zn 0.0000 2.0175 1.9432
Ir 2.0175 0.0000 1.9432

=====

3
Lattice="-1.8923 1.8923 3.2527 1.8923 -1.8923 3.2527 1.8923 1.8923 -3.2527" Properties=species:S:1:pos:R:3 comment="PaNiN | Alexandria via LeMat-Bulk | PBE | relaxed" energy_ev_per_atom=-8.13 mass_density_g_cm3=10.83 vol_a3_per_cell=46.6 polymorph_energy_ev_per_fu=0.85 e_form_raw_ev_per_atom=-0.26 pbc="T T T"
Pa 0.0000 0.0000 0.0000
Ni 0.0000 0.0000 2.5413
N 0.0000 0.0000 4.4275

=====

7
Lattice="5.0988 0.0000 0.0000 -2.5014 6.2112 0.0000 -0.0276 -0.8486 7.1500" Properties=species:S:1:pos:R:3 comment="In3Hg2Bi2 | Alexandria via LeMat-Bulk | PBE | relaxed" energy_ev_per_atom=-2.32 mass_density_g_cm3=8.53 vol_a3_per_cell=226.4 polymorph_energy_ev_per_fu=0.09 delta_e_f_ev_per_atom=0.044 pbc="T T T"
In 0.0000 0.0000 0.0000
In 0.0094 2.7940 2.0632
In 2.5603 2.5686 5.0868
Hg 0.0156 3.7462 6.5555
Hg 2.5542 1.6165 0.5945
Bi 0.0034 0.8135 4.4959
Bi 2.5663 4.5492 2.6540

=====

4
Lattice="2.9301 0.0000 0.0000 0.0000 3.8481 0.0000 0.0000 0.0000 5.7711" Properties=species:S:1:pos:R:3 comment="FeRu2Pb | Alexandria via LeMat-Bulk | PBE | relaxed" energy_ev_per_atom=-7.19 mass_density_g_cm3=11.87 vol_a3_per_cell=65.1 delta_e_f_ev_per_atom=0.493 pbc="T T T"
Fe 0.0000 0.0000 0.0000
Ru 0.0000 0.0000 3.3693
Ru 1.4650 1.9241 4.6867
Pb 1.4650 1.9241 1.7400

=====

7
Lattice="1.5560 -14.2294 0.0000 1.5560 14.2294 0.0000 0.0000 0.0000 4.2429" Properties=species:S:1:pos:R:3 comment="Ce4AlIn2 | Alexandria via LeMat-Bulk | PBE | relaxed" energy_ev_per_atom=-4.66 mass_density_g_cm3=7.22 vol_a3_per_cell=187.9 delta_e_f_ev_per_atom=0.052 pbc="T T T"
Ce 1.5560 12.3995 0.0000
Ce 1.5560 3.2324 2.1214
Ce 1.5560 -3.2324 2.1214
Ce 1.5560 -12.3995 0.0000
Al 1.5560 0.0000 2.1214
In 1.5560 5.7585 0.0000
In 1.5560 -5.7585 0.0000